CrFe2P, optimized geometry, DFT PBE-GGA; SG = Imm2 (44); ΔE_f = -0.1739 eV per atom
1.0
-1.8386 -2.0788 -3.7250
2.7076 -2.9258 -2.3846
-1.9299 0.9441 4.1185
Fe P Cr
2 1 1
direct
0.7240 0.2240 0.5000
0.0007 0.0007 0.0000
0.5057 0.5057 0.0000
0.2697 0.7697 0.5000

NdBi2SO4, optimized geometry, DFT PBE-GGA; DFT total energy = -6.22 eV per atom; SG = P4/mmm (123)
1.0
3.9168 0.0000 0.0000
0.0000 3.9168 0.0000
0.0000 0.0000 9.1751
O Bi Nd S
4 2 1 1
direct
0.0000 0.5000 0.8387
0.5000 0.0000 0.1613
0.0000 0.5000 0.1613
0.5000 0.0000 0.8387
0.5000 0.5000 0.2849
0.5000 0.5000 0.7151
0.0000 0.0000 0.0000
0.0000 0.0000 0.5000

NdSm3HoSc, optimized geometry, DFT PBE-GGA; SG = Cmcm (63); ΔE_f = 0.0370 eV per atom
1.0
-3.1578 0.8139 3.7984
5.8550 -4.7244 2.5808
5.3636 8.1313 2.7167
Sm Ho Nd Sc
6 2 2 2
direct
0.6668 0.3336 0.0013
0.8309 0.6617 0.2500
0.6668 0.3336 0.4987
0.1691 0.3383 0.7500
0.3332 0.6664 0.5013
0.3332 0.6664 0.9987
0.0000 0.0000 0.0000
0.0000 0.0000 0.5000
0.5038 0.0076 0.2500
0.4962 0.9924 0.7500
0.8328 0.6655 0.7500
0.1672 0.3345 0.2500

HgTe2Pt, optimized geometry, DFT PBE-GGA; DFT total energy = -3.31 eV per atom; SG = I4_1/amd (141)
1.0
-2.3489 -3.8939 3.6303
5.1164 -0.5547 2.7155
-0.1664 2.2942 7.0166
Pt Te Hg
2 4 2
direct
0.5000 0.5000 0.0000
0.2500 0.7500 0.5000
0.4665 0.9665 0.0671
0.2835 0.2835 0.4329
0.0335 0.5335 0.9329
0.7165 0.7165 0.5671
0.7500 0.2500 0.5000
0.0000 0.0000 0.0000